1.
The following is a DFT calculation (PBE) of CdReMo after structural relaxation.

a b c (Å): 2.902 2.902 7.056
angles (deg): 90.00 90.00 120.00
Fractional positions:
Cd 0.000 0.000 0.998
Mo 0.667 0.333 0.360
Re 0.333 0.667 0.643

## Properties
- space-group type = P3m1, No. 156

2.
The following is a DFT calculation (PBE) of CdReMo after structural relaxation.

a b c (Å): 4.945 4.945 4.945
angles (deg): 148.00 128.44 61.98
Fractional positions:
Cd 0.001 0.001 0.000
Mo 0.331 0.331 0.000
Re 0.668 0.668 0.000

## Properties
- space-group type = Imm2, No. 44

Which structure wins on stability? 1 wins.

1.
The following is a DFT calculation (PBE) of CdReMo after structural relaxation.

a b c (Å): 7.578 7.387 2.767
angles (deg): 83.27 75.47 21.26
Fractional positions:
Cd 0.000 0.000 0.000
Mo 0.323 0.323 0.677
Re 0.677 0.677 0.323

## Properties
- space-group type = Fmm2, No. 42

2.
The following is a DFT calculation (PBE) of CdReMo after structural relaxation.

a b c (Å): 4.388 4.388 4.388
angles (deg): 60.00 60.00 60.00
Fractional positions:
Cd 0.000 0.000 0.000
Mo 0.500 0.500 0.500
Re 0.750 0.750 0.750

## Properties
- space-group type = F-43m, No. 216

Which structure wins on stability? 1 wins.

1.
The following is a DFT calculation (PBE) of Cd2MoRh after structural relaxation.

a b c (Å): 4.633 4.633 4.633
angles (deg): 60.00 60.00 60.00
Each line ends with the local moment (μB).
Fractional positions:
Mo 0.000 0.000 0.000  1.53
Rh 0.500 0.500 0.500  0.20
Cd 0.250 0.250 0.250  0.00
Cd 0.750 0.750 0.750  0.00

## Properties
- space-group type = Fm-3m, No. 225

2.
The following is a DFT calculation (PBE) of Cd2MoRh after structural relaxation.

a b c (Å): 5.733 5.733 5.733
angles (deg): 150.88 129.64 59.23
Fractional positions:
Cd 0.012 0.012 0.000
Cd 0.488 0.488 0.000
Mo 0.750 0.250 0.500
Rh 0.250 0.750 0.500

## Properties
- space-group type = Immm, No. 71

Which structure wins on stability? 2 wins.

1.
The following is a DFT calculation (PBE) of Cd2MoRh after structural relaxation.

a b c (Å): 4.844 4.844 4.844
angles (deg): 127.50 127.50 77.43
Each line ends with the local moment (μB).
Fractional positions:
Cd 0.000 0.000 0.000  -0.01
Cd 0.250 0.750 0.500  0.00
Mo 0.500 0.500 0.000  0.66
Rh 0.750 0.250 0.500  0.06

## Properties
- space-group type = I-4m2, No. 119

2.
The following is a DFT calculation (PBE) of Cd2MoRh after structural relaxation.

a b c (Å): 9.582 9.582 9.582
angles (deg): 17.54 17.54 17.54
Each line ends with the local moment (μB).
Fractional positions:
Cd 0.003 0.003 0.003  0.01
Cd 0.497 0.497 0.497  0.01
Mo 0.250 0.250 0.250  0.34
Rh 0.750 0.750 0.750  0.31

## Properties
- space-group type = R-3m, No. 166

3.
The following is a DFT calculation (PBE) of Cd2MoRh after structural relaxation.

a b c (Å): 2.948 4.826 4.913
angles (deg): 90.00 90.00 90.00
Fractional positions:
Cd 0.000 0.000 0.000
Cd 0.500 0.500 0.000
Mo 0.500 0.000 0.500
Rh 0.000 0.500 0.500

## Properties
- space-group type = Pmmm, No. 47

4.
The following is a DFT calculation (PBE) of Cd2MoRh after structural relaxation.

a b c (Å): 5.236 5.236 2.837
angles (deg): 90.00 90.00 116.30
Fractional positions:
Cd 0.000 0.000 0.000
Cd 0.500 0.500 0.000
Mo 0.500 0.000 0.500
Rh 0.000 0.500 0.500

## Properties
- space-group type = Cmmm, No. 65

Which structure wins on stability? 1 wins.

1.
The following is a DFT calculation (PBE) of Cd2MoRh after structural relaxation.

a b c (Å): 4.446 2.851 5.748
angles (deg): 78.29 90.00 90.00
Fractional positions:
Cd 0.000 0.972 0.989
Cd 0.500 0.269 0.259
Mo 0.000 0.613 0.526
Rh 0.500 0.646 0.725

## Properties
- space-group type = Pm, No. 6

2.
The following is a DFT calculation (PBE) of Cd2MoRh after structural relaxation.

a b c (Å): 7.576 7.576 5.984
angles (deg): 50.72 50.72 90.00
Fractional positions:
Mo 0.500 0.500 0.000
Mo 0.250 0.750 0.500
Rh 0.000 0.000 0.000
Rh 0.750 0.250 0.500
Cd 0.639 0.125 0.250
Cd 0.111 0.625 0.250
Cd 0.375 0.361 0.750
Cd 0.875 0.889 0.750

## Properties
- space-group type = I-42d, No. 122

Which structure wins on stability? 1 wins.

1.
The following is a DFT calculation (PBE) of Cd2MoRh after structural relaxation.

a b c (Å): 5.143 5.143 5.143
angles (deg): 133.28 133.28 68.22
Each line ends with the local moment (μB).
Fractional positions:
Cd 0.000 0.000 0.000  0.01
Cd 0.500 0.500 0.000  0.01
Mo 0.250 0.750 0.500  1.72
Rh 0.750 0.250 0.500  0.47

## Properties
- space-group type = I4/mmm, No. 139

2.
The following is a DFT calculation (PBE) of Cd2MoRh after structural relaxation.

a b c (Å): 4.736 2.830 5.276
angles (deg): 79.56 90.00 90.00
Fractional positions:
Cd 0.000 0.950 0.994
Cd 0.000 0.550 0.506
Mo 0.500 0.250 0.250
Rh 0.500 0.750 0.750

## Properties
- space-group type = P2/m, No. 10

3.
The following is a DFT calculation (PBE) of Cd2MoRh after structural relaxation.

a b c (Å): 2.846 2.846 8.550
angles (deg): 90.00 90.00 89.94
Fractional positions:
Cd 0.000 0.000 0.987
Cd 0.000 0.000 0.513
Mo 0.500 0.500 0.250
Rh 0.500 0.500 0.750

## Properties
- space-group type = P4/mmm, No. 123

Which structure wins on stability? 3 wins.

1.
The following is a DFT calculation (PBE) of CdMoRh3 after structural relaxation.

a b c (Å): 4.721 4.721 4.721
angles (deg): 90.00 90.00 90.00
Each line ends with the local moment (μB).
Fractional positions:
Mo 0.500 0.500 0.500  -0.04
Rh 0.000 0.500 0.000  -0.02
Rh 0.000 0.000 0.500  -0.07
Rh 0.500 0.000 0.000  -0.01
Cd 0.000 0.000 0.000  0.00

## Properties
- space-group type = Pm-3m, No. 221

2.
The following is a DFT calculation (PBE) of CdMoRh3 after structural relaxation.

a b c (Å): 4.695 4.695 4.695
angles (deg): 90.00 90.00 90.00
Fractional positions:
Mo 0.000 0.000 0.000
Rh 0.000 0.500 0.000
Rh 0.000 0.000 0.500
Rh 0.500 0.000 0.000
Cd 0.500 0.500 0.500

## Properties
- space-group type = Pm-3m, No. 221

Which structure wins on stability? 2 wins.

1.
The following is a DFT calculation (PBE) of CdMoRu3 after structural relaxation.

a b c (Å): 4.684 4.684 4.684
angles (deg): 90.00 90.00 90.00
Fractional positions:
Ru 0.000 0.500 0.000
Ru 0.000 0.000 0.500
Ru 0.500 0.000 0.000
Mo 0.500 0.500 0.500
Cd 0.000 0.000 0.000

## Properties
- space-group type = Pm-3m, No. 221

2.
The following is a DFT calculation (PBE) of CdMoRu3 after structural relaxation.

a b c (Å): 4.670 4.670 4.670
angles (deg): 90.00 90.00 90.00
Each line ends with the local moment (μB).
Fractional positions:
Ru 0.000 0.500 0.000  0.55
Ru 0.000 0.000 0.500  0.56
Ru 0.500 0.000 0.000  0.35
Mo 0.000 0.000 0.000  -0.18
Cd 0.500 0.500 0.500  -0.02

## Properties
- space-group type = Pm-3m, No. 221

Which structure wins on stability? 2 wins.

1.
The following is a DFT calculation (PBE) of CdMoS3 after structural relaxation.

a b c (Å): 4.900 4.900 4.900
angles (deg): 90.00 90.00 90.00
Each line ends with the local moment (μB).
Fractional positions:
Mo 0.500 0.500 0.500  3.46
S 0.000 0.500 0.000  -0.39
S 0.000 0.000 0.500  -0.24
S 0.500 0.000 0.000  -0.29
Cd 0.000 0.000 0.000  -0.01

## Properties
- space-group type = Pm-3m, No. 221

2.
The following is a DFT calculation (PBE) of CdMoS3 after structural relaxation.

a b c (Å): 4.721 4.721 4.721
angles (deg): 90.00 90.00 90.00
Fractional positions:
Mo 0.000 0.000 0.000
S 0.000 0.500 0.000
S 0.000 0.000 0.500
S 0.500 0.000 0.000
Cd 0.500 0.500 0.500

## Properties
- space-group type = Pm-3m, No. 221

Which structure wins on stability? 2 wins.

1.
The following is a DFT calculation (PBE) of CdSb3Mo after structural relaxation.

a b c (Å): 5.441 5.441 5.441
angles (deg): 90.00 90.00 90.00
Each line ends with the local moment (μB).
Fractional positions:
Sb 0.000 0.500 0.000  -0.13
Sb 0.000 0.000 0.500  -0.11
Sb 0.500 0.000 0.000  -0.11
Mo 0.500 0.500 0.500  3.54
Cd 0.000 0.000 0.000  0.01

## Properties
- space-group type = Pm-3m, No. 221

2.
The following is a DFT calculation (PBE) of CdSb3Mo after structural relaxation.

a b c (Å): 5.274 5.274 5.274
angles (deg): 90.00 90.00 90.00
Fractional positions:
Sb 0.000 0.500 0.000
Sb 0.000 0.000 0.500
Sb 0.500 0.000 0.000
Mo 0.000 0.000 0.000
Cd 0.500 0.500 0.500

## Properties
- space-group type = Pm-3m, No. 221

Which structure wins on stability? 2 wins.

1.
The following is a DFT calculation (PBE) of Cd3SbMo after structural relaxation.

a b c (Å): 5.616 5.616 5.616
angles (deg): 90.00 90.00 90.00
Each line ends with the local moment (μB).
Fractional positions:
Sb 0.000 0.000 0.000  0.01
Mo 0.500 0.500 0.500  3.90
Cd 0.000 0.500 0.000  -0.01
Cd 0.000 0.000 0.500  -0.02
Cd 0.500 0.000 0.000  0.01

## Properties
- space-group type = Pm-3m, No. 221

2.
The following is a DFT calculation (PBE) of Cd3SbMo after structural relaxation.

a b c (Å): 5.336 5.336 5.336
angles (deg): 90.00 90.00 90.00
Each line ends with the local moment (μB).
Fractional positions:
Sb 0.500 0.500 0.500  -0.16
Mo 0.000 0.000 0.000  1.95
Cd 0.000 0.500 0.000  0.03
Cd 0.000 0.000 0.500  0.04
Cd 0.500 0.000 0.000  0.00

## Properties
- space-group type = Pm-3m, No. 221

Which structure wins on stability? 2 wins.

1.
The following is a DFT calculation (PBE) of CdSb2TeMo after structural relaxation.

a b c (Å): 5.421 5.421 5.596
angles (deg): 90.00 90.00 90.00
Each line ends with the local moment (μB).
Fractional positions:
Sb 0.000 0.500 0.000  -0.17
Sb 0.500 0.000 0.000  -0.17
Mo 0.500 0.500 0.500  3.60
Te 0.000 0.000 0.500  -0.13
Cd 0.000 0.000 0.000  0.01

## Properties
- space-group type = P4/mmm, No. 123

2.
The following is a DFT calculation (PBE) of CdSb2TeMo after structural relaxation.

a b c (Å): 5.306 5.306 5.289
angles (deg): 90.00 90.00 90.00
Fractional positions:
Sb 0.000 0.500 0.000
Sb 0.500 0.000 0.000
Mo 0.000 0.000 0.000
Te 0.000 0.000 0.500
Cd 0.500 0.500 0.500

## Properties
- space-group type = P4/mmm, No. 123

Which structure wins on stability? 2 wins.